Entry 1:
## ScGaHg2 (GGA-PBE)

Data for a relaxed ScGaHg2 crystal.

formation energy from the elements = -0.19 eV per atom

Cell: 3.6480 3.6480 6.4750 Å, 90.00 90.00 90.00°
Fractional positions:
Sc: 0.5000 0.5000 0.0000
Ga: 0.5000 0.5000 0.5000
Hg: 0.0000 0.0000 0.2497
Hg: 0.0000 0.0000 0.7503

=====

Entry 2:
## ScGaHg (GGA-PBE)

Data for a relaxed ScGaHg crystal.

formation energy from the elements = -0.32 eV per atom
ΔE to the lowest computed polymorph = 0.117 eV/atom

Cell: 4.8324 4.8324 5.9719 Å, 90.00 90.00 120.00°
Fractional positions:
Ga: 0.6667 0.3333 0.7500
Ga: 0.3333 0.6667 0.2500
Hg: 0.0000 0.0000 0.5000
Hg: 0.0000 0.0000 0.0000
Sc: 0.6667 0.3333 0.2500
Sc: 0.3333 0.6667 0.7500

=====

Entry 3:
## ScGaHg (GGA-PBE)

Data for a relaxed ScGaHg crystal.

formation energy from the elements = -0.32 eV per atom
ΔE to the lowest computed polymorph = 0.114 eV/atom

Cell: 4.5290 4.5290 4.5290 Å, 60.00 60.00 60.00°
Fractional positions:
Ga: 0.2500 0.2500 0.2500
Hg: 0.0000 0.0000 0.0000
Sc: 0.5000 0.5000 0.5000

=====

Entry 4:
## ScGaHg (GGA-PBE)

Data for a relaxed ScGaHg crystal.

formation energy from the elements = -0.43 eV per atom
ΔE to the lowest computed polymorph = 0.000 eV/atom

Cell: 8.2787 4.4973 4.4969 Å, 60.00 122.91 105.76°
Fractional positions:
Sc: 0.5830 0.8262 0.8641
Sc: 0.0829 0.8264 0.3641
Hg: 0.3689 0.1596 0.9834
Hg: 0.7969 0.1596 0.4114
Ga: 0.8857 0.4930 0.8336
Ga: 0.2802 0.4929 0.2280

=====

Entry 5:
## ScGaHg (GGA-PBE)

Data for a relaxed ScGaHg crystal.

formation energy from the elements = -0.40 eV per atom
ΔE to the lowest computed polymorph = 0.035 eV/atom

Cell: 3.2269 4.6981 7.9331 Å, 90.00 90.02 90.00°
Fractional positions:
Hg: 0.2578 0.2282 0.6219
Hg: 0.2594 0.7282 0.4316
Ga: 0.2580 0.2285 0.9556
Ga: 0.2583 0.7285 0.0979
Sc: 0.7588 0.2283 0.2572
Sc: 0.7584 0.7283 0.7962

=====

Entry 6:
## ScGaHg (GGA-PBE)

Data for a relaxed ScGaHg crystal.

formation energy from the elements = -0.35 eV per atom
ΔE to the lowest computed polymorph = 0.085 eV/atom

Cell: 3.2058 5.4486 7.3494 Å, 73.41 90.02 90.00°
Fractional positions:
Ga: 0.0917 0.3624 0.0196
Ga: 0.0916 0.8742 0.0338
Sc: 0.5920 0.0101 0.3208
Sc: 0.5918 0.2263 0.7328
Hg: 0.0919 0.7588 0.6820
Hg: 0.0916 0.4776 0.3715

=====

Entry 7:
## ScGa2Hg2 (GGA-PBE)

Data for a relaxed ScGa2Hg2 crystal.

formation energy from the elements = -0.06 eV per atom
ΔE to the lowest computed polymorph = 0.000 eV/atom

Cell: 4.3045 4.3045 6.4850 Å, 70.62 70.62 90.00°
Fractional positions:
Hg: 0.2500 0.7500 0.5000
Hg: 0.7500 0.2500 0.5000
Sc: 0.0000 0.0000 0.0000
Ga: 0.3970 0.3970 0.2060
Ga: 0.6030 0.6030 0.7940

=====

Entry 8:
## Sc2GaHg2 (GGA-PBE)

Data for a relaxed Sc2GaHg2 crystal.

formation energy from the elements = -0.24 eV per atom
ΔE to the lowest computed polymorph = 0.132 eV/atom

Cell: 5.6266 5.9186 7.8247 Å, 112.22 111.07 90.00°
Fractional positions:
Hg: 0.6114 0.9585 0.2229
Hg: 0.1114 0.2643 0.2229
Hg: 0.8886 0.7357 0.7771
Hg: 0.3886 0.0415 0.7771
Ga: 0.7500 0.5000 0.0000
Ga: 0.2500 0.5000 0.0000
Sc: 0.8306 0.1589 0.6613
Sc: 0.6694 0.4977 0.3387
Sc: 0.1694 0.8411 0.3387
Sc: 0.3306 0.5023 0.6613

=====

Entry 9:
## Sc8Ga2Hg (GGA-PBE)

Data for a relaxed Sc8Ga2Hg crystal.

formation energy from the elements = -0.32 eV per atom

Cell: 4.8060 7.6900 7.8226 Å, 117.65 107.89 90.00°
Fractional positions:
Sc: 0.1469 0.2011 0.2938
Sc: 0.6830 0.9508 0.3660
Sc: 0.5997 0.4586 0.1995
Sc: 0.3170 0.0492 0.6340
Sc: 0.9392 0.2780 0.8785
Sc: 0.0608 0.7220 0.1215
Sc: 0.4003 0.5414 0.8005
Sc: 0.8531 0.7989 0.7062
Ga: 0.7799 0.3730 0.5597
Ga: 0.2201 0.6270 0.4403
Hg: 0.5000 0.0000 0.0000

=====

Entry 10:
## Sc5GaHg (GGA-PBE)

Data for a relaxed Sc5GaHg crystal.

formation energy from the elements = -0.18 eV per atom

Cell: 5.7710 5.7710 9.7400 Å, 94.38 94.38 89.27°
Fractional positions:
Hg: 0.0000 0.0000 0.5000
Hg: 0.0000 0.0000 0.0000
Ga: 0.4967 0.5033 0.2500
Ga: 0.5033 0.4967 0.7500
Sc: 0.4654 0.2457 0.9883
Sc: 0.2457 0.4654 0.4883
Sc: 0.0162 0.6143 0.1783
Sc: 0.1592 0.8408 0.7500
Sc: 0.8408 0.1592 0.2500
Sc: 0.7543 0.5346 0.5117
Sc: 0.3857 0.9838 0.3217
Sc: 0.6143 0.0162 0.6783
Sc: 0.9838 0.3857 0.8217
Sc: 0.5346 0.7543 0.0117

=====

Entry 11:
## ScGaHg (GGA-PBE)

Data for a relaxed ScGaHg crystal.

formation energy from the elements = -0.39 eV per atom
ΔE to the lowest computed polymorph = 0.048 eV/atom

Cell: 4.1647 4.2995 8.3861 Å, 59.14 104.32 89.92°
Fractional positions:
Ga: 0.4898 0.6801 0.3972
Ga: 0.1143 0.4302 0.6472
Sc: 0.6397 0.8798 0.6976
Sc: 0.9643 0.2302 0.3470
Hg: 0.8024 0.0548 0.0219
Hg: 0.3026 0.5539 0.0226

=====

Entry 12:
## ScGaHg (GGA-PBE)

Data for a relaxed ScGaHg crystal.

formation energy from the elements = -0.37 eV per atom
ΔE to the lowest computed polymorph = 0.065 eV/atom

Cell: 4.1476 4.3684 7.0623 Å, 71.97 90.00 90.00°
Fractional positions:
Hg: 0.5828 0.9226 0.4227
Hg: 0.0829 0.7414 0.7849
Ga: 0.5831 0.2401 0.7866
Ga: 0.5831 0.5698 0.1277
Sc: 0.0828 0.3980 0.4706
Sc: 0.0829 0.0881 0.0920